Run A
Density functional theory data (PBE-GGA) for a geometry-optimized OsPtCl3 structure.

* M_tot: 4.8 Bohr magnetons per cell
* density of states at the Fermi level: 14.4 states/eV/cell

a = 4.9118 Å, b = 4.9118 Å, c = 4.9118 Å
α = 90.00°, β = 90.00°, γ = 90.00°
Last column: nearest neighbours and their distance in Å.
Fractional coordinates of all 5 atoms:
Os (0.0000, 0.0000, 0.0000)  12 Cl 3.47
Pt (0.5000, 0.5000, 0.5000)  6 Cl 2.46
Cl (0.0000, 0.5000, 0.5000)  2 Pt 2.46
Cl (0.5000, 0.0000, 0.5000)  2 Pt 2.46
Cl (0.5000, 0.5000, 0.0000)  2 Pt 2.46

Run B
Density functional theory data (PBE-GGA) for a geometry-optimized OsPtCl3 structure.

* M_tot: 2.3 Bohr magnetons per cell
* density of states at the Fermi level: 6.7 states/eV/cell

a = 4.7532 Å, b = 4.7532 Å, c = 4.7532 Å
α = 90.00°, β = 90.00°, γ = 90.00°
Last column: nearest neighbours and their distance in Å.
Fractional coordinates of all 5 atoms:
Os (0.0000, 0.0000, 0.0000)  6 Cl 2.38
Pt (0.5000, 0.5000, 0.5000)  12 Cl 3.36
Cl (0.0000, 0.0000, 0.5000)  2 Os 2.38
Cl (0.0000, 0.5000, 0.0000)  2 Os 2.38
Cl (0.5000, 0.0000, 0.0000)  2 Os 2.38

Energy ordering: run B at the bottom, the next structure 20.8 kJ/mol of atoms above.

Run A
Density functional theory data (PBE-GGA) for a geometry-optimized OsPt3Cl structure.

* M_tot: 2.6 Bohr magnetons per cell
* density of states at the Fermi level: 3.9 states/eV/cell

a = 4.4787 Å, b = 4.4787 Å, c = 4.4787 Å
α = 90.00°, β = 90.00°, γ = 90.00°
Last column: nearest neighbours and their distance in Å.
Fractional coordinates of all 5 atoms:
Os (0.0000, 0.0000, 0.0000)  12 Pt 3.17
Pt (0.0000, 0.5000, 0.5000)  2 Cl 2.24
Pt (0.5000, 0.0000, 0.5000)  2 Cl 2.24
Pt (0.5000, 0.5000, 0.0000)  2 Cl 2.24
Cl (0.5000, 0.5000, 0.5000)  6 Pt 2.24

Run B
Density functional theory data (PBE-GGA) for a geometry-optimized OsPt3Cl structure.

* M_tot: 0.0 Bohr magnetons per cell
* density of states at the Fermi level: 5.2 states/eV/cell

a = 4.8533 Å, b = 4.8533 Å, c = 4.8533 Å
α = 90.00°, β = 90.00°, γ = 90.00°
Last column: nearest neighbours and their distance in Å.
Fractional coordinates of all 5 atoms:
Os (0.0000, 0.0000, 0.0000)  6 Pt 2.43
Pt (0.0000, 0.0000, 0.5000)  2 Os 2.43
Pt (0.0000, 0.5000, 0.0000)  2 Os 2.43
Pt (0.5000, 0.0000, 0.0000)  2 Os 2.43
Cl (0.5000, 0.5000, 0.5000)  12 Pt 3.43

Energy ordering: run B at the bottom, the next structure 22.9 kJ/mol of atoms above.

Run A
Density functional theory data (PBE-GGA) for a geometry-optimized Pu2OsCl structure.

* M_tot: 10.6 Bohr magnetons per cell
* density of states at the Fermi level: 11.3 states/eV/cell

a = 3.2755 Å, b = 3.2755 Å, c = 8.0346 Å
α = 90.00°, β = 90.00°, γ = 90.00°
Last column: nearest neighbours and their distance in Å.
Fractional coordinates of all 4 atoms:
Pu (0.0000, 0.0000, 0.2219)  4 Os 2.92, 4 Cl 3.22
Pu (0.0000, 0.0000, 0.7781)  4 Os 2.92, 4 Cl 3.22
Os (0.5000, 0.5000, 0.0000)  8 Pu 2.92
Cl (0.5000, 0.5000, 0.5000)  8 Pu 3.22, 4 Cl 3.28

Run B
Density functional theory data (PBE-GGA) for a geometry-optimized Pu2OsCl structure.

* M_tot: 29.9 Bohr magnetons per cell
* density of states at the Fermi level: 39.6 states/eV/cell

a = 3.9527 Å, b = 3.9527 Å, c = 21.9533 Å
α = 90.00°, β = 90.00°, γ = 120.00°
Last column: nearest neighbours and their distance in Å.
Fractional coordinates of all 12 atoms:
Pu (0.0000, 0.0000, 0.2362)  3 Os 2.75
Pu (0.0000, 0.0000, 0.7638)  3 Os 2.75
Pu (0.3333, 0.6667, 0.4305)  3 Os 2.75
Pu (0.3333, 0.6667, 0.9028)  3 Os 2.75
Pu (0.6667, 0.3333, 0.0972)  3 Os 2.75
Pu (0.6667, 0.3333, 0.5695)  3 Os 2.75
Os (0.0000, 0.0000, 0.5000)  6 Pu 2.75
Os (0.3333, 0.6667, 0.1667)  6 Pu 2.75
Os (0.6667, 0.3333, 0.8333)  6 Pu 2.75
Cl (0.0000, 0.0000, 0.0000)  6 Pu 3.12
Cl (0.3333, 0.6667, 0.6667)  6 Pu 3.12
Cl (0.6667, 0.3333, 0.3333)  6 Pu 3.12

Energy ordering: run A at the bottom, the next structure 7.9 kJ/mol of atoms above.

Run A
Density functional theory data (PBE-GGA) for a geometry-optimized Rb2OsCl2 structure.

* M_tot: 7.2 Bohr magnetons per cell
* density of states at the Fermi level: 7.3 states/eV/cell

a = 9.6047 Å, b = 9.6047 Å, c = 3.3854 Å
α = 90.00°, β = 90.00°, γ = 90.00°
Last column: nearest neighbours and their distance in Å.
Fractional coordinates of all 10 atoms:
Rb (0.1449, 0.3551, 0.0000)  6 Cl 3.25-3.31, 2 Rb 3.39
Rb (0.3551, 0.8551, 0.0000)  6 Cl 3.25-3.31, 2 Rb 3.39
Rb (0.6449, 0.1449, 0.0000)  6 Cl 3.25-3.31, 2 Rb 3.39
Rb (0.8551, 0.6449, 0.0000)  6 Cl 3.25-3.31, 2 Rb 3.39
Os (0.0000, 0.0000, 0.0000)  2 Os 3.39, 4 Rb 3.68
Os (0.5000, 0.5000, 0.0000)  2 Os 3.39, 4 Rb 3.68
Cl (0.1508, 0.6508, 0.5000)  6 Rb 3.25-3.31, 2 Cl 3.39
Cl (0.3492, 0.1508, 0.5000)  6 Rb 3.25-3.31, 2 Cl 3.39
Cl (0.6508, 0.8492, 0.5000)  6 Rb 3.25-3.31, 2 Cl 3.39
Cl (0.8492, 0.3492, 0.5000)  6 Rb 3.25-3.31, 2 Cl 3.39

Run B
Density functional theory data (PBE-GGA) for a geometry-optimized Rb2OsCl2 structure.

* M_tot: 8.0 Bohr magnetons per cell
* density of states at the Fermi level: 17.8 states/eV/cell

a = 6.3272 Å, b = 6.3272 Å, c = 13.4286 Å
α = 90.00°, β = 90.00°, γ = 90.00°
Last column: nearest neighbours and their distance in Å.
Fractional coordinates of all 10 atoms:
Rb (0.0000, 0.0000, 0.2063)  4 Cl 3.22
Rb (0.0000, 0.0000, 0.7937)  4 Cl 3.22
Rb (0.5000, 0.5000, 0.2937)  4 Cl 3.22
Rb (0.5000, 0.5000, 0.7063)  4 Cl 3.22
Os (0.0000, 0.0000, 0.5000)  2 Rb 3.94
Os (0.5000, 0.5000, 0.0000)  2 Rb 3.94
Cl (0.0000, 0.5000, 0.2500)  4 Rb 3.22
Cl (0.0000, 0.5000, 0.7500)  4 Rb 3.22
Cl (0.5000, 0.0000, 0.2500)  4 Rb 3.22
Cl (0.5000, 0.0000, 0.7500)  4 Rb 3.22

Energy ordering: run A at the bottom, the next structure 11.8 kJ/mol of atoms above.

Run A
Density functional theory data (PBE-GGA) for a geometry-optimized RbOsSCl2 structure.

* M_tot: 0.0 Bohr magnetons per cell
* density of states at the Fermi level: 3.7 states/eV/cell

a = 5.2206 Å, b = 5.2206 Å, c = 4.4143 Å
α = 90.00°, β = 90.00°, γ = 90.00°
Last column: nearest neighbours and their distance in Å.
Fractional coordinates of all 5 atoms:
Rb (0.0000, 0.0000, 0.0000)  8 Cl 3.42, 4 S 3.69
Os (0.5000, 0.5000, 0.5000)  2 S 2.21
S (0.5000, 0.5000, 0.0000)  2 Os 2.21
Cl (0.0000, 0.5000, 0.5000)  2 Os 2.61
Cl (0.5000, 0.0000, 0.5000)  2 Os 2.61

Run B
Density functional theory data (PBE-GGA) for a geometry-optimized RbOsSCl2 structure.

* M_tot: 7.0 Bohr magnetons per cell
* density of states at the Fermi level: 7.4 states/eV/cell

a = 5.9531 Å, b = 5.9531 Å, c = 5.9741 Å
α = 90.00°, β = 90.00°, γ = 90.00°
Last column: nearest neighbours and their distance in Å.
Fractional coordinates of all 5 atoms:
Rb (0.0000, 0.0000, 0.0000)  4 Cl 2.98, 2 S 2.99
Os (0.5000, 0.5000, 0.5000)  4 S 4.21, 8 Cl 4.22
S (0.0000, 0.0000, 0.5000)  2 Rb 2.99
Cl (0.0000, 0.5000, 0.0000)  2 Rb 2.98
Cl (0.5000, 0.0000, 0.0000)  2 Rb 2.98

Energy ordering: run A at the bottom, the next structure 190.2 kJ/mol of atoms above.

Run A
Density functional theory data (PBE-GGA) for a geometry-optimized Rb2TlOsCl6 structure.

* M_tot: 2.0 Bohr magnetons per cell
* density of states at the Fermi level: 18.2 states/eV/cell

a = 15.6199 Å, b = 15.6199 Å, c = 15.6199 Å
α = 26.71°, β = 26.71°, γ = 26.71°
Last column: nearest neighbours and their distance in Å.
Fractional coordinates of all 20 atoms:
Rb (0.1408, 0.1408, 0.1408)  9 Cl 3.39-3.62
Rb (0.3086, 0.3086, 0.3086)  9 Cl 3.36-3.62
Rb (0.6914, 0.6914, 0.6914)  9 Cl 3.36-3.62
Rb (0.8592, 0.8592, 0.8592)  9 Cl 3.39-3.62
Tl (0.4158, 0.4158, 0.4158)  6 Cl 3.09-3.23
Tl (0.5842, 0.5842, 0.5842)  6 Cl 3.09-3.23
Os (0.0000, 0.0000, 0.0000)  6 Cl 2.38
Os (0.5000, 0.5000, 0.5000)  6 Cl 2.40
Cl (0.1576, 0.6248, 0.6248)  1 Os 2.40
Cl (0.1855, 0.1855, 0.7217)  1 Os 2.38
Cl (0.1855, 0.7217, 0.1855)  1 Os 2.38
Cl (0.2783, 0.8145, 0.8145)  1 Os 2.38
Cl (0.3752, 0.3752, 0.8424)  1 Os 2.40
Cl (0.3752, 0.8424, 0.3752)  1 Os 2.40
Cl (0.6248, 0.1576, 0.6248)  1 Os 2.40
Cl (0.6248, 0.6248, 0.1576)  1 Os 2.40
Cl (0.7217, 0.1855, 0.1855)  1 Os 2.38
Cl (0.8145, 0.2783, 0.8145)  1 Os 2.38
Cl (0.8145, 0.8145, 0.2783)  1 Os 2.38
Cl (0.8424, 0.3752, 0.3752)  1 Os 2.40

Run B
Density functional theory data (PBE-GGA) for a geometry-optimized Rb2TlOsCl6 structure.

* M_tot: 1.0 Bohr magnetons per cell
* density of states at the Fermi level: 15.0 states/eV/cell

a = 7.6316 Å, b = 7.6316 Å, c = 7.6316 Å
α = 60.00°, β = 60.00°, γ = 60.00°
Last column: nearest neighbours and their distance in Å.
Fractional coordinates of all 10 atoms:
Rb (0.2500, 0.2500, 0.2500)  12 Cl 3.83
Rb (0.7500, 0.7500, 0.7500)  12 Cl 3.83
Tl (0.0000, 0.0000, 0.0000)  6 Cl 3.02
Os (0.5000, 0.5000, 0.5000)  6 Cl 2.38
Cl (0.2795, 0.2795, 0.7205)  1 Os 2.38
Cl (0.2795, 0.7205, 0.2795)  1 Os 2.38
Cl (0.2795, 0.7205, 0.7205)  1 Os 2.38
Cl (0.7205, 0.2795, 0.2795)  1 Os 2.38
Cl (0.7205, 0.2795, 0.7205)  1 Os 2.38
Cl (0.7205, 0.7205, 0.2795)  1 Os 2.38

Energy ordering: run A at the bottom, the next structure 1.6 kJ/mol of atoms above.